[1]
Below is an optimized crystal structure of AcTbAg4, with properties calculated at the PBE level.

Values from the calculation:
Total DFT energy (no corrections) = -21.7 eV per cell
Space group = Pmmm (47)
E above lowest polymorph = 0.214 eV per formula unit

Cell: 3.7175 4.8692 8.2801 Å, 90.00 90.00 90.00°
Last column: nearest neighbours and their distance in Å.
Fractional positions:
Ac (0.9986, 0.9973, 0.4981)  12 Ag 3.36-3.39, 2 Ac 3.72
Tb (0.9986, 0.4973, 0.9981)  12 Ag 3.27-3.34
Ag (0.4986, 0.9973, 0.1604)  3 Ag 2.69-2.78
Ag (0.4985, 0.9973, 0.8359)  3 Ag 2.69-2.78
Ag (0.4987, 0.4973, 0.6737)  3 Ag 2.78-2.91
Ag (0.4986, 0.4973, 0.3225)  3 Ag 2.78-2.91

---

[2]
Below is an optimized crystal structure of AcTbAg, with properties calculated at the PBE level.

Values from the calculation:
Total DFT energy (no corrections) = -11.3 eV per cell
Space group = F-43m (216)
E above lowest polymorph = 0.740 eV per formula unit

Cell: 5.2949 5.2949 5.2949 Å, 60.00 60.00 60.00°
Last column: nearest neighbours and their distance in Å.
Fractional positions:
Ac (0.5000, 0.5000, 0.5000)  4 Ag 3.24
Tb (0.0000, 0.0000, 0.0000)  4 Ag 3.24
Ag (0.2500, 0.2500, 0.2500)  4 Ac 3.24, 4 Tb 3.24

---

[3]
Below is an optimized crystal structure of Ac5TbAg6, with properties calculated at the PBE level.

Values from the calculation:
Total DFT energy (no corrections) = -45.3 eV per cell
Space group = C2/m (12)

Cell: 5.5426 9.5959 9.5959 Å, 120.10 106.83 106.83°
Last column: nearest neighbours and their distance in Å.
Fractional positions:
Ac (0.5000, 0.1688, 0.8312)  8 Ag 3.32-3.52
Ac (0.0000, 0.3355, 0.6645)  8 Ag 3.45-3.47
Ac (0.5000, 0.5000, 0.5000)  8 Ag 3.35-3.50
Ac (0.0000, 0.6645, 0.3355)  8 Ag 3.45-3.47
Ac (0.5000, 0.8312, 0.1688)  8 Ag 3.32-3.52
Tb (0.0000, 0.0000, 0.0000)  8 Ag 3.23-3.29
Ag (0.2372, 0.0779, 0.3959)  1 Tb 3.23, 7 Ac 3.33-3.52
Ag (0.7628, 0.6041, 0.9221)  1 Tb 3.23, 7 Ac 3.33-3.52
Ag (0.7258, 0.2261, 0.2261)  2 Tb 3.28-3.29, 6 Ac 3.32-3.50, 1 Ag 3.53
Ag (0.2742, 0.7739, 0.7739)  2 Tb 3.28-3.29, 6 Ac 3.32-3.50, 1 Ag 3.53
Ag (0.2372, 0.3959, 0.0779)  1 Tb 3.23, 7 Ac 3.33-3.52
Ag (0.7628, 0.9221, 0.6041)  1 Tb 3.23, 7 Ac 3.33-3.52

---

[4]
Below is an optimized crystal structure of AcTb5Ag6, with properties calculated at the PBE level.

Values from the calculation:
Total DFT energy (no corrections) = -47.8 eV per cell
Space group = Immm (71)

Cell: 5.2600 7.3343 9.1103 Å, 113.74 106.78 90.00°
Last column: nearest neighbours and their distance in Å.
Fractional positions:
Ac (0.0000, 0.0000, 0.0000)  8 Ag 3.32-3.35, 2 Tb 3.67
Tb (0.3341, 0.8341, 0.6682)  8 Ag 3.08-3.31
Tb (0.6689, 0.6689, 0.3379)  8 Ag 3.14-3.15
Tb (0.0000, 0.5000, 0.0000)  8 Ag 3.10-3.25
Tb (0.3311, 0.3311, 0.6621)  8 Ag 3.14-3.15
Tb (0.6659, 0.1659, 0.3318)  8 Ag 3.08-3.31
Ag (0.1732, 0.4358, 0.3464)  7 Tb 3.08-3.26, 1 Ac 3.35
Ag (0.1732, 0.9106, 0.3464)  7 Tb 3.08-3.26, 1 Ac 3.35
Ag (0.5000, 0.2754, 0.0000)  6 Tb 3.10-3.31, 1 Ag 3.29, 2 Ac 3.32
Ag (0.5000, 0.7246, 0.0000)  6 Tb 3.10-3.31, 1 Ag 3.29, 2 Ac 3.32
Ag (0.8268, 0.0894, 0.6536)  7 Tb 3.08-3.26, 1 Ac 3.35
Ag (0.8268, 0.5642, 0.6536)  7 Tb 3.08-3.26, 1 Ac 3.35

---

- The highest total DFT energy (no corrections) belongs to which entry?
  AcTbAg

---

- What is the total DFT energy (no corrections) in the second record?
  -11.3 eV per cell